Entry 1:
Material: Na2Li3ZnBi4
Method: DFT, GGA-PBE
State: relaxed

The structure belongs to space group P-4m2 (No. 115); the cell edges are 4.574, 4.574 and 12.917 Å and the angles 90.00°, 90.00° and 90.00°. The inequivalent atoms are Na at (0.000, 0.500, 0.221), Li at (0.000, 0.000, 0.000), Li at (0.000, 0.500, 0.650), Zn at (0.500, 0.500, 0.000), Bi at (0.000, 0.000, 0.500), Bi at (0.000, 0.500, 0.865) and Bi at (0.500, 0.500, 0.500).

As for the crystal system: tetragonal. The calculation puts the density of states at the Fermi level at 4.46 states/eV/cell. The value obtained for the total energy is -28.1 eV/cell.


Entry 2:
Material: Na2LiZnBi2
Method: DFT, GGA-PBE
State: relaxed

The structure belongs to space group Ibam (No. 72); the cell edges are 6.316, 15.789 and 6.402 Å and the angles 90.00°, 90.00° and 90.00°. The inequivalent atoms are Na at (0.248, 0.174, 0.000), Li at (0.000, 0.500, 0.250), Zn at (0.000, 0.000, 0.250) and Bi at (0.246, 0.114, 0.500).

As for the crystal system: orthorhombic. The calculation puts the density of states at the Fermi level at 10.10 states/eV/cell. The value obtained for the total energy is -61.5 eV/cell.


Entry 3:
Material: LiNbBi2
Method: DFT, GGA-PBE
State: relaxed

The structure belongs to space group P4/mmm (No. 123); the cell edges are 3.682, 3.682 and 6.759 Å and the angles 90.00°, 90.00° and 90.00°. The inequivalent atoms are Li at (0.000, 0.000, 0.000), Nb at (0.000, 0.000, 0.500) and Bi at (0.500, 0.500, 0.261).

As for the crystal system: tetragonal. Its energy relative to the lowest polymorph listed for this composition is 0 meV per atom. The calculation puts the density of states at the Fermi level at 3.01 states/eV/cell. The value obtained for the total energy is -19.8 eV/cell.


Entry 4:
Material: LiNbBi2
Method: DFT, GGA-PBE
State: relaxed

The structure belongs to space group Fm-3m (No. 225); the cell edges are 7.195, 7.195 and 7.195 Å and the angles 90.00°, 90.00° and 90.00°. The inequivalent atoms are Li at (0.000, 0.000, 0.000), Nb at (0.000, 0.000, 0.500) and Bi at (0.250, 0.250, 0.250).

As for the crystal system: cubic. Its energy relative to the lowest polymorph listed for this composition is 157 meV per atom. The calculation puts the density of states at the Fermi level at 10.83 states/eV/cell. The value obtained for the total energy is -76.8 eV/cell.


Entry 5:
Material: LiNbBi2
Method: DFT, GGA-PBE
State: relaxed

The structure belongs to space group R-3m (No. 166, hexagonal axes); the cell edges are 3.2817, 3.2817 and 31.6089 Å and the angles 90.00°, 90.00° and 120.00°. The inequivalent atoms are Li at (0.0000, 0.0000, 0.0000), Nb at (0.0000, 0.0000, 0.5000) and Bi at (0.0000, 0.0000, 0.4071).

As for the crystal system: trigonal. Its energy relative to the lowest polymorph listed for this composition is 405 meV per atom. The calculation puts the density of states at the Fermi level at 14.68 states/eV/cell. The value obtained for the total energy is -54.7 eV/cell.


Entry 6:
Material: Li2NbBi2
Method: DFT, GGA-PBE
State: relaxed

The structure belongs to space group P4/mbm (No. 127); the cell edges are 7.812, 7.812 and 3.521 Å and the angles 90.00°, 90.00° and 90.00°. The inequivalent atoms are Li at (0.138, 0.362, 0.000), Nb at (0.000, 0.000, 0.500) and Bi at (0.163, 0.663, 0.500).

As for the crystal system: tetragonal. The calculation puts the density of states at the Fermi level at 7.06 states/eV/cell. The value obtained for the total energy is -42.9 eV/cell.


Entry 7:
Material: Li2NbBi
Method: DFT, GGA-PBE
State: relaxed

The structure belongs to space group I-42d (No. 122); the cell edges are 7.583, 7.583 and 5.600 Å and the angles 90.00°, 90.00° and 90.00°. The inequivalent atoms are Li at (0.241, 0.250, 0.125), Nb at (0.000, 0.000, 0.500) and Bi at (0.000, 0.000, 0.000).

As for the crystal system: tetragonal. The calculation puts the density of states at the Fermi level at 13.80 states/eV/cell. The value obtained for the total energy is -64.2 eV/cell.


Entry 8:
Material: LiNbBi2
Method: DFT, GGA-PBE
State: relaxed

The structure belongs to space group I-42d (No. 122); the cell edges are 6.775, 6.775 and 12.142 Å and the angles 90.00°, 90.00° and 90.00°. The inequivalent atoms are Li at (0.000, 0.000, 0.000), Nb at (0.000, 0.000, 0.500) and Bi at (0.230, 0.250, 0.625).

As for the crystal system: tetragonal. Its energy relative to the lowest polymorph listed for this composition is 464 meV per atom. The calculation puts the density of states at the Fermi level at 0.00 states/eV/cell. The value obtained for the total energy is -71.9 eV/cell.


Entry 9:
Material: LiNb3Bi
Method: DFT, GGA-PBE
State: relaxed

The structure belongs to space group Pm-3m (No. 221); the cell edges are 5.230, 5.230 and 5.230 Å and the angles 90.00°, 90.00° and 90.00°. The inequivalent atoms are Li at (0.000, 0.000, 0.000), Nb at (0.000, 0.500, 0.500) and Bi at (0.500, 0.500, 0.500).

As for the crystal system: cubic. Its energy relative to the lowest polymorph listed for this composition is 976 meV per atom. The calculation puts the density of states at the Fermi level at 8.12 states/eV/cell. The value obtained for the total energy is -26.7 eV/cell.


Entry 10:
Material: LiNb3Bi
Method: DFT, GGA-PBE
State: relaxed

The structure belongs to space group Pm-3m (No. 221); the cell edges are 4.543, 4.543 and 4.543 Å and the angles 90.00°, 90.00° and 90.00°. The inequivalent atoms are Li at (0.000, 0.000, 0.000), Nb at (0.000, 0.000, 0.500) and Bi at (0.500, 0.500, 0.500).

As for the crystal system: cubic. Its energy relative to the lowest polymorph listed for this composition is 0 meV per atom. The calculation puts the density of states at the Fermi level at 6.13 states/eV/cell. The value obtained for the total energy is -31.6 eV/cell.


Entry 11:
Material: LiNbBi2O6
Method: DFT, GGA-PBE
State: relaxed

The structure belongs to space group P2_1/c (No. 14); the cell edges are 5.579, 5.973 and 9.595 Å and the angles 90.00°, 124.48° and 90.00°. The inequivalent atoms are Li at (0.000, 0.000, 0.000), Nb at (0.500, 0.000, 0.500), Bi at (0.242, 0.055, 0.751), O at (0.143, 0.169, 0.447), O at (0.283, 0.705, 0.442) and O at (0.376, 0.043, 0.257).

As for the crystal system: monoclinic. The uncorrected formation energy is -175 kJ/mol of atoms. The calculation puts the density of states at the Fermi level at 0.00 states/eV/cell. The value obtained for the total energy is -135.3 eV/cell.


Entry 12:
Material: Li2NbBiO6
Method: DFT, GGA-PBE
State: relaxed

The structure belongs to space group R3 (No. 146, hexagonal axes); the cell edges are 5.3087, 5.3087 and 14.2559 Å and the angles 90.00°, 90.00° and 120.00°. The inequivalent atoms are Li at (0.0000, 0.0000, 0.0000), Li at (0.0000, 0.0000, 0.4912), Nb at (0.0000, 0.0000, 0.2108), Bi at (0.0000, 0.0000, 0.7102), O at (0.0331, 0.3370, 0.2770) and O at (0.0408, 0.6750, 0.7805).

As for the crystal system: trigonal. The uncorrected formation energy is -176 kJ/mol of atoms. The value obtained for the total energy is -197.2 eV/cell.